No. 1
TaGeSe4: optimized geometry, PBE-GGA.

Cell: 5.805 5.805 10.986 Å, 90.00 90.00 90.00°
Space group P-42c (No. 112)
Unique sites:
1 Ta 0.000 0.000 0.000 (multiplicity 2)
2 Ge 0.000 0.500 0.250 (multiplicity 2)
3 Se 0.249 0.252 0.382 (multiplicity 8)

Output
**Spin magnetization**: 0.0 μB/f.u.
**Fermi-level density of states**: 2.09 states/eV/cell
**E_tot**: -32.6 eV per formula unit
**Formation energy (no corrections)**: -358 meV per atom

---

No. 2
Hf3P: optimized geometry, PBE-GGA.

Cell: 10.755 10.755 5.287 Å, 90.00 90.00 90.00°
Space group I-4 (No. 82)
Unique sites:
1 Hf 0.027 0.138 0.273 (multiplicity 8)
2 Hf 0.085 0.608 0.482 (multiplicity 8)
3 Hf 0.181 0.716 0.993 (multiplicity 8)
4 P 0.040 0.206 0.779 (multiplicity 8)

Output
**Spin magnetization**: 0.0 μB/f.u.
**Excess energy over the best structure of this formula in the dataset**: 16 meV per atom
**Fermi-level density of states**: 20.47 states/eV/cell
**E_tot**: -38.4 eV per formula unit
**Energy of formation from the pure elements**: -301 kJ/mol of formula units

---

No. 3
K3Rb13: optimized geometry, PBE-GGA.

Cell: 11.185 15.757 15.756 Å, 90.00 90.00 90.00°
Space group Amm2 (No. 38)
Unique sites:
1 K 0.000 0.000 0.000 (multiplicity 2)
2 K 0.247 0.000 0.241 (multiplicity 4)
3 Rb 0.000 0.000 0.489 (multiplicity 2)
4 Rb 0.000 0.244 0.244 (multiplicity 4)
5 Rb 0.247 0.000 0.747 (multiplicity 4)
6 Rb 0.247 0.247 0.994 (multiplicity 8)
7 Rb 0.500 0.000 0.000 (multiplicity 2)
8 Rb 0.500 0.000 0.489 (multiplicity 2)
9 Rb 0.500 0.245 0.244 (multiplicity 4)

Output
**Spin magnetization**: 0.0 μB/f.u.
**Fermi-level density of states**: 26.09 states/eV/cell
**E_tot**: -15.8 eV per formula unit
**Energy of formation from the pure elements**: 10 kJ/mol of formula units

---

No. 4
Cs2KSrZn: optimized geometry, PBE-GGA.

Cell: 8.361 8.361 7.972 Å, 90.00 90.00 90.00°
Space group P4/mmm (No. 123)
Unique sites:
1 Cs 0.000 0.500 0.000 (multiplicity 2)
2 K 0.000 0.000 0.000 (multiplicity 1)
3 Sr 0.000 0.000 0.500 (multiplicity 1)
4 Zn 0.500 0.500 0.500 (multiplicity 1)

Output
**Spin magnetization**: 0.0 μB/f.u.
**Fermi-level density of states**: 4.63 states/eV/cell
**E_tot**: -3.1 eV per formula unit
**Energy of formation from the pure elements**: 254 kJ/mol of formula units

---

No. 5
Dy3Y4ScS8: optimized geometry, PBE-GGA.

Cell: 7.7777 7.7777 19.0621 Å, 90.00 90.00 120.00°
Space group R-3m (No. 166, hexagonal axes)
Unique sites:
1 Dy 0.0000 0.5000 0.0000 (multiplicity 9)
2 Y 0.0000 0.0000 0.5000 (multiplicity 3)
3 Y 0.0000 0.5000 0.5000 (multiplicity 9)
4 Sc 0.0000 0.0000 0.0000 (multiplicity 3)
5 S 0.0000 0.0000 0.2504 (multiplicity 6)
6 S 0.0072 0.5036 0.7478 (multiplicity 18)

Output
**Spin magnetization**: 0.0 μB/f.u.
**Fermi-level density of states**: 29.62 states/eV/cell
**E_tot**: -110.5 eV per formula unit
**Formation energy (no corrections)**: -1967 meV per atom

---

No. 6
Na2Y3PuTe6: optimized geometry, PBE-GGA.

Cell: 7.644 13.232 7.823 Å, 90.00 109.08 90.00°
Space group C2/m (No. 12)
Unique sites:
1 Na 0.000 0.166 0.000 (multiplicity 4)
2 Y 0.000 0.000 0.500 (multiplicity 2)
3 Y 0.000 0.332 0.500 (multiplicity 4)
4 Pu 0.000 0.500 0.000 (multiplicity 2)
5 Te 0.246 0.500 0.740 (multiplicity 4)
6 Te 0.248 0.166 0.741 (multiplicity 8)

Output
**Spin magnetization**: 6.3 μB/f.u.
**Fermi-level density of states**: 38.41 states/eV/cell
**E_tot**: -70.5 eV per formula unit
**Formation energy (no corrections)**: -1277 meV per atom

---

No. 7
Cu2Ni4Rh: optimized geometry, PBE-GGA.

Cell: 7.068 7.068 7.088 Å, 90.00 90.00 90.00°
Space group I-42d (No. 122)
Unique sites:
1 Cu 0.132 0.750 0.125 (multiplicity 8)
2 Ni 0.086 0.661 0.454 (multiplicity 16)
3 Rh 0.000 0.000 0.500 (multiplicity 4)

Output
**Spin magnetization**: 3.2 μB/f.u.
**Excess energy over the best structure of this formula in the dataset**: 190 meV per atom
**Fermi-level density of states**: 36.98 states/eV/cell
**E_tot**: -36.1 eV per formula unit
**Energy of formation from the pure elements**: 243 kJ/mol of formula units

---

No. 8
CuSi4: optimized geometry, PBE-GGA.

Cell: 5.753 5.753 4.250 Å, 90.00 90.00 90.00°
Space group I4/m (No. 87)
Unique sites:
1 Cu 0.000 0.000 0.000 (multiplicity 2)
2 Si 0.105 0.299 0.500 (multiplicity 8)

Output
**Spin magnetization**: 0.0 μB/f.u.
**Excess energy over the best structure of this formula in the dataset**: 155 meV per atom
**Fermi-level density of states**: 4.46 states/eV/cell
**E_tot**: -23.7 eV per formula unit
**Formation energy (no corrections)**: 412 meV per atom

---

No. 9
Dy2InSi2Rh5: optimized geometry, PBE-GGA.

Cell: 9.818 9.818 3.515 Å, 90.00 90.00 90.00°
Space group P4/mbm (No. 127)
Unique sites:
1 Dy 0.176 0.324 0.000 (multiplicity 4)
2 In 0.000 0.000 0.000 (multiplicity 2)
3 Si 0.122 0.622 0.000 (multiplicity 4)
4 Rh 0.000 0.500 0.500 (multiplicity 2)
5 Rh 0.070 0.782 0.500 (multiplicity 8)

Output
**Spin magnetization**: 0.0 μB/f.u.
**Fermi-level density of states**: 7.00 states/eV/cell
**E_tot**: -69.1 eV per formula unit
**Formation energy (no corrections)**: -957 meV per atom

---

No. 10
La2Sm2HoHg5: optimized geometry, PBE-GGA.

Cell: 11.121 11.121 4.563 Å, 90.00 90.00 90.00°
Space group P4/mbm (No. 127)
Unique sites:
1 La 0.176 0.324 0.000 (multiplicity 4)
2 Sm 0.128 0.628 0.000 (multiplicity 4)
3 Ho 0.000 0.000 0.000 (multiplicity 2)
4 Hg 0.000 0.500 0.500 (multiplicity 2)
5 Hg 0.078 0.816 0.500 (multiplicity 8)

Output
**Spin magnetization**: 0.0 μB/f.u.
**Fermi-level density of states**: 16.38 states/eV/cell
**E_tot**: -28.7 eV per formula unit
**Energy of formation from the pure elements**: -325 kJ/mol of formula units

---

No. 11
AgGeN3: optimized geometry, PBE-GGA.

Cell: 4.096 4.096 4.096 Å, 90.00 90.00 90.00°
Space group Pm-3m (No. 221)
Unique sites:
1 Ag 0.000 0.000 0.000 (multiplicity 1)
2 Ge 0.500 0.500 0.500 (multiplicity 1)
3 N 0.000 0.000 0.500 (multiplicity 3)

Output
**Spin magnetization**: 3.4 μB/f.u.
**Fermi-level density of states**: 2.16 states/eV/cell
**E_tot**: -20.6 eV per formula unit
**Formation energy (no corrections)**: 2368 meV per atom

---

No. 12
PrTm2Zn2: optimized geometry, PBE-GGA.

Cell: 4.937 4.615 11.634 Å, 90.00 96.99 90.00°
Space group P2_1/m (No. 11)
Unique sites:
1 Pr 0.186 0.250 0.256 (multiplicity 2)
2 Tm 0.248 0.750 0.494 (multiplicity 2)
3 Tm 0.359 0.250 0.882 (multiplicity 2)
4 Zn 0.111 0.750 0.993 (multiplicity 2)
5 Zn 0.292 0.250 0.643 (multiplicity 2)

Output
**Spin magnetization**: 0.0 μB/f.u.
**Fermi-level density of states**: 6.88 states/eV/cell
**E_tot**: -17.1 eV per formula unit
**Energy of formation from the pure elements**: -76 kJ/mol of formula units